(1)
First-principles (PBE) data for crystalline Np3Te4 at its relaxed geometry, as listed in OQMD.

a b c (Å): 8.049 8.049 8.049
angles (deg): 109.47 109.47 109.47
Fractional coordinates of all 14 atoms:
Np 0.125 0.750 0.875
Np 0.250 0.625 0.375
Np 0.375 0.250 0.625
Np 0.625 0.375 0.250
Np 0.750 0.875 0.125
Np 0.875 0.125 0.750
Te 0.000 0.348 0.500
Te 0.000 0.848 0.500
Te 0.152 0.152 0.152
Te 0.348 0.500 0.000
Te 0.500 0.000 0.348
Te 0.500 0.000 0.848
Te 0.652 0.652 0.652
Te 0.848 0.500 0.000

VASP energy	-8.03	eV/atom
space group	I-43d, No. 220

=====

(2)
First-principles (PBE) data for crystalline PrNdIBr2N at its relaxed geometry, as listed in OQMD.

a b c (Å): 9.303 9.303 11.888
angles (deg): 120.88 120.88 25.56
Fractional coordinates of all 12 atoms:
Pr 0.080 0.080 0.457
Pr 0.920 0.920 0.543
Nd 0.368 0.368 0.222
Nd 0.632 0.632 0.778
I 0.158 0.158 0.015
I 0.842 0.842 0.985
Br 0.282 0.282 0.386
Br 0.456 0.456 0.749
Br 0.544 0.544 0.251
Br 0.718 0.718 0.614
N 0.073 0.073 0.650
N 0.927 0.927 0.350

space group	C2/m, No. 12
offset from the most stable computed form	0.0014	eV per atom

=====

(3)
First-principles (PBE) data for crystalline ZnW at its relaxed geometry, as listed in OQMD.

a b c (Å): 3.936 3.936 5.280
angles (deg): 90.00 90.00 120.00
Fractional coordinates of all 4 atoms:
Zn 0.333 0.667 0.250
Zn 0.667 0.333 0.750
W 0.000 0.000 0.000
W 0.000 0.000 0.500

formation energy from the elements	1.27	eV per atom
space group	P6_3/mmc, No. 194
offset from the most stable computed form	1.0467	eV per atom

=====

(4)
First-principles (PBE) data for crystalline Sc2IrAu at its relaxed geometry, as listed in OQMD.

a b c (Å): 4.630 4.630 4.630
angles (deg): 60.00 60.00 60.00
Fractional coordinates of all 4 atoms:
Sc 0.000 0.000 0.000
Sc 0.250 0.250 0.250
Ir 0.750 0.750 0.750
Au 0.500 0.500 0.500

formation energy from the elements	-0.50	eV per atom
space group	F-43m, No. 216

=====

(5)
First-principles (PBE) data for crystalline BaErCu at its relaxed geometry, as listed in OQMD.

a b c (Å): 5.184 5.184 5.184
angles (deg): 60.00 60.00 60.00
Fractional coordinates of all 3 atoms:
Ba 0.000 0.000 0.000
Er 0.500 0.500 0.500
Cu 0.250 0.250 0.250

space group	F-43m, No. 216
offset from the most stable computed form	0.0000	eV per atom

=====

(6)
First-principles (PBE) data for crystalline LiTl2CoH6 at its relaxed geometry, as listed in OQMD.

a b c (Å): 5.402 5.402 5.402
angles (deg): 60.00 60.00 60.00
Fractional coordinates of all 10 atoms:
Li 0.000 0.000 0.000
Tl 0.250 0.250 0.250
Tl 0.750 0.750 0.750
Co 0.500 0.500 0.500
H 0.292 0.292 0.708
H 0.292 0.708 0.292
H 0.292 0.708 0.708
H 0.708 0.292 0.292
H 0.708 0.292 0.708
H 0.708 0.708 0.292

VASP energy	-3.27	eV/atom
space group	Fm-3m, No. 225

=====

(7)
First-principles (PBE) data for crystalline CsCuTe2MoS at its relaxed geometry, as listed in OQMD.

a b c (Å): 8.762 8.762 9.906
angles (deg): 90.00 90.00 153.42
Fractional coordinates of all 12 atoms:
Cs 0.233 0.767 0.750
Cs 0.767 0.233 0.250
Cu 0.012 0.988 0.250
Cu 0.988 0.012 0.750
Te 0.110 0.890 0.054
Te 0.110 0.890 0.446
Te 0.890 0.110 0.554
Te 0.890 0.110 0.946
Mo 0.500 0.500 0.000
Mo 0.500 0.500 0.500
S 0.445 0.555 0.250
S 0.555 0.445 0.750

VASP energy	-4.65	eV/atom
space group	Cmcm, No. 63

=====

(8)
First-principles (PBE) data for crystalline BaAsPtAu at its relaxed geometry, as listed in OQMD.

a b c (Å): 5.068 5.068 5.068
angles (deg): 60.00 60.00 60.00
Fractional coordinates of all 4 atoms:
Ba 0.000 0.000 0.000
As 0.750 0.750 0.750
Pt 0.500 0.500 0.500
Au 0.250 0.250 0.250

space group	F-43m, No. 216
offset from the most stable computed form	0.0000	eV per atom

=====

(9)
First-principles (PBE) data for crystalline Zr2SbIBr at its relaxed geometry, as listed in OQMD.

a b c (Å): 4.119 4.119 10.358
angles (deg): 90.00 90.00 120.00
Fractional coordinates of all 5 atoms:
Zr 0.000 0.000 0.000
Zr 0.333 0.667 0.290
Sb 0.667 0.333 0.146
I 0.333 0.667 0.812
Br 0.000 0.000 0.458

VASP energy	-5.64	eV/atom
space group	P3m1, No. 156

=====

(10)
First-principles (PBE) data for crystalline ZnBAsO at its relaxed geometry, as listed in OQMD.

a b c (Å): 3.270 3.270 9.453
angles (deg): 90.00 90.00 90.00
Fractional coordinates of all 8 atoms:
Zn 0.250 0.750 0.000
Zn 0.750 0.250 0.000
B 0.250 0.250 0.437
B 0.750 0.750 0.563
As 0.250 0.250 0.786
As 0.750 0.750 0.214
O 0.250 0.750 0.500
O 0.750 0.250 0.500

space group	P4/nmm, No. 129
offset from the most stable computed form	1.0416	eV per atom

=====

(11)
First-principles (PBE) data for crystalline Al7W5 at its relaxed geometry, as listed in OQMD.

a b c (Å): 5.286 5.286 17.101
angles (deg): 90.00 90.00 120.00
Fractional coordinates of all 24 atoms:
Al 0.000 0.000 0.083
Al 0.000 0.000 0.417
Al 0.000 0.000 0.583
Al 0.000 0.000 0.917
Al 0.161 0.323 0.250
Al 0.161 0.839 0.250
Al 0.323 0.161 0.750
Al 0.333 0.667 0.643
Al 0.333 0.667 0.857
Al 0.667 0.333 0.143
Al 0.667 0.333 0.357
Al 0.677 0.839 0.250
Al 0.839 0.161 0.750
Al 0.839 0.677 0.750
W 0.000 0.500 0.000
W 0.000 0.500 0.500
W 0.333 0.667 0.128
W 0.333 0.667 0.372
W 0.500 0.000 0.000
W 0.500 0.000 0.500
W 0.500 0.500 0.000
W 0.500 0.500 0.500
W 0.667 0.333 0.628
W 0.667 0.333 0.872

space group	P6_3/mmc, No. 194
offset from the most stable computed form	0.0916	eV per atom

=====

(12)
First-principles (PBE) data for crystalline DyTm2In3Ir2Pd at its relaxed geometry, as listed in OQMD.

a b c (Å): 3.832 7.602 7.602
angles (deg): 120.36 90.00 90.00
Fractional coordinates of all 9 atoms:
Dy 0.000 0.000 0.000
Tm 0.000 0.411 0.821
Tm 0.000 0.821 0.411
In 0.500 0.150 0.412
In 0.500 0.412 0.150
In 0.500 0.671 0.671
Ir 0.500 0.078 0.742
Ir 0.500 0.742 0.078
Pd 0.000 0.412 0.412

VASP energy	-5.72	eV/atom
space group	Amm2, No. 38

=====

(13)
First-principles (PBE) data for crystalline NbC at its relaxed geometry, as listed in OQMD.

a b c (Å): 3.168 3.168 15.723
angles (deg): 90.00 90.00 120.00
Fractional coordinates of all 12 atoms:
Nb 0.000 0.000 0.250
Nb 0.000 0.000 0.750
Nb 0.333 0.667 0.084
Nb 0.333 0.667 0.416
Nb 0.667 0.333 0.584
Nb 0.667 0.333 0.916
C 0.000 0.000 0.000
C 0.000 0.000 0.500
C 0.333 0.667 0.665
C 0.333 0.667 0.835
C 0.667 0.333 0.165
C 0.667 0.333 0.335

space group	P6_3/mmc, No. 194
offset from the most stable computed form	0.0160	eV per atom

=====

(14)
First-principles (PBE) data for crystalline Nd2SmIn8 at its relaxed geometry, as listed in OQMD.

a b c (Å): 4.668 4.668 13.771
angles (deg): 90.00 90.00 90.00
Fractional coordinates of all 11 atoms:
Nd 0.000 0.000 0.168
Nd 0.000 0.000 0.832
Sm 0.000 0.000 0.500
In 0.000 0.500 0.000
In 0.000 0.500 0.343
In 0.000 0.500 0.657
In 0.500 0.000 0.000
In 0.500 0.000 0.343
In 0.500 0.000 0.657
In 0.500 0.500 0.177
In 0.500 0.500 0.823

VASP energy	-3.69	eV/atom
space group	P4/mmm, No. 123

=====

(15)
First-principles (PBE) data for crystalline Gd2Dy5Tm at its relaxed geometry, as listed in OQMD.

a b c (Å): 5.637 7.207 7.207
angles (deg): 59.99 90.00 90.00
Fractional coordinates of all 8 atoms:
Gd 0.000 0.000 0.000
Gd 0.500 0.333 0.333
Dy 0.000 0.501 0.501
Dy 0.000 0.501 0.998
Dy 0.000 0.998 0.501
Dy 0.500 0.335 0.832
Dy 0.500 0.832 0.335
Tm 0.500 0.833 0.833

formation energy from the elements	0.01	eV per atom
space group	Amm2, No. 38

=====

(16)
First-principles (PBE) data for crystalline Li2HfZrGa2Ni2 at its relaxed geometry, as listed in OQMD.

a b c (Å): 4.300 4.300 6.082
angles (deg): 90.00 90.00 90.00
Fractional coordinates of all 8 atoms:
Li 0.000 0.500 0.250
Li 0.500 0.000 0.750
Hf 0.000 0.000 0.000
Zr 0.500 0.500 0.500
Ga 0.000 0.000 0.500
Ga 0.500 0.500 0.000
Ni 0.000 0.500 0.752
Ni 0.500 0.000 0.248

VASP energy	-5.44	eV/atom
space group	P-4m2, No. 115

=====

(17)
First-principles (PBE) data for crystalline HoTm2NiSn3Pd2 at its relaxed geometry, as listed in OQMD.

a b c (Å): 3.811 7.539 7.539
angles (deg): 120.10 90.00 90.00
Fractional coordinates of all 9 atoms:
Ho 0.000 0.000 0.000
Tm 0.000 0.401 0.801
Tm 0.000 0.801 0.401
Ni 0.000 0.401 0.401
Sn 0.500 0.148 0.401
Sn 0.500 0.401 0.148
Sn 0.500 0.653 0.653
Pd 0.500 0.068 0.732
Pd 0.500 0.732 0.068

VASP energy	-5.47	eV/atom
space group	Amm2, No. 38

=====

(18)
First-principles (PBE) data for crystalline PuHg at its relaxed geometry, as listed in OQMD.

a b c (Å): 4.982 4.982 4.982
angles (deg): 60.00 60.00 60.00
Fractional coordinates of all 2 atoms:
Pu 0.000 0.000 0.000
Hg 0.250 0.250 0.250

formation energy from the elements	0.62	eV per atom
space group	F-43m, No. 216

=====

(19)
First-principles (PBE) data for crystalline TbSc2W2 at its relaxed geometry, as listed in OQMD.

a b c (Å): 6.983 6.983 6.983
angles (deg): 144.89 144.89 50.49
Fractional coordinates of all 5 atoms:
Tb 0.000 0.000 0.000
Sc 0.250 0.750 0.500
Sc 0.750 0.250 0.500
W 0.407 0.407 0.000
W 0.593 0.593 0.000

formation energy from the elements	0.56	eV per atom
space group	I4/mmm, No. 139
offset from the most stable computed form	0.0000	eV per atom

=====

(20)
First-principles (PBE) data for crystalline NdPuSc at its relaxed geometry, as listed in OQMD.

a b c (Å): 5.088 5.088 5.088
angles (deg): 60.00 60.00 60.00
Fractional coordinates of all 3 atoms:
Nd 0.000 0.000 0.000
Pu 0.500 0.500 0.500
Sc 0.250 0.250 0.250

formation energy from the elements	0.78	eV per atom
space group	F-43m, No. 216
offset from the most stable computed form	0.0000	eV per atom

=====

(21)
First-principles (PBE) data for crystalline Tm5SeS4 at its relaxed geometry, as listed in OQMD.

a b c (Å): 15.984 15.984 15.984
angles (deg): 13.91 13.91 13.91
Fractional coordinates of all 10 atoms:
Tm 0.000 0.000 0.000
Tm 0.204 0.204 0.204
Tm 0.399 0.399 0.399
Tm 0.601 0.601 0.601
Tm 0.796 0.796 0.796
Se 0.500 0.500 0.500
S 0.098 0.098 0.098
S 0.301 0.301 0.301
S 0.699 0.699 0.699
S 0.902 0.902 0.902

VASP energy	-6.11	eV/atom
space group	R-3m, No. 166

=====

(22)
First-principles (PBE) data for crystalline Sc2InTc at its relaxed geometry, as listed in OQMD.

a b c (Å): 4.926 4.926 7.760
angles (deg): 90.00 90.00 120.00
Fractional coordinates of all 8 atoms:
Sc 0.333 0.667 0.074
Sc 0.333 0.667 0.426
Sc 0.667 0.333 0.574
Sc 0.667 0.333 0.926
In 0.000 0.000 0.250
In 0.000 0.000 0.750
Tc 0.333 0.667 0.750
Tc 0.667 0.333 0.250

VASP energy	-6.63	eV/atom
space group	P6_3/mmc, No. 194

=====

(23)
First-principles (PBE) data for crystalline LaPr2Ni2B2P3 at its relaxed geometry, as listed in OQMD.

a b c (Å): 11.318 11.318 11.318
angles (deg): 159.12 159.12 29.70
Fractional coordinates of all 10 atoms:
La 0.000 0.000 0.000
Pr 0.359 0.359 0.000
Pr 0.641 0.641 0.000
Ni 0.250 0.750 0.500
Ni 0.750 0.250 0.500
B 0.221 0.221 0.000
B 0.779 0.779 0.000
P 0.132 0.132 0.000
P 0.500 0.500 0.000
P 0.868 0.868 0.000

VASP energy	-6.38	eV/atom
space group	I4/mmm, No. 139

=====

(24)
First-principles (PBE) data for crystalline CsYPt at its relaxed geometry, as listed in OQMD.

a b c (Å): 5.169 5.169 5.169
angles (deg): 60.00 60.00 60.00
Fractional coordinates of all 3 atoms:
Cs 0.000 0.000 0.000
Y 0.500 0.500 0.500
Pt 0.250 0.250 0.250

space group	F-43m, No. 216
offset from the most stable computed form	0.0000	eV per atom